A plane-wave DFT calculation with SCAN was carried out for a crystal of ZnCu2Ni relaxed with PBEsol.

Summary:
Crystal system ... tetragonal
Symmetry ... P4mm (99)
Total DFT energy (no corrections) ... -15.09 eV/atom
Total magnetic moment ... 0.0 μB/f.u.

```
4
Lattice="2.597 0.000 0.000 0.000 2.597 0.000 0.000 0.000 6.784" Properties=species:S:1:pos:R:3 pbc="T T T"
Zn 0.000 0.000 0.000
Cu 0.000 0.000 3.297
Cu 1.298 1.298 4.989
Ni 1.298 1.298 1.663
```